(1)
Below is an optimized crystal structure of ReSnRh, with properties calculated at the PBE level.

Unit cell a=3.389 b=3.389 c=8.854 alpha=90.00 beta=90.00 gamma=90.00
Atoms (fractional coordinates):
Re 0.500 0.000 0.063
Re 0.000 0.500 0.937
Sn 0.500 0.000 0.728
Sn 0.000 0.500 0.272
Rh 0.000 0.500 0.605
Rh 0.500 0.000 0.395

Calculated values
Spin magnetization   0.00 Bohr magnetons per cell

(2)
Below is an optimized crystal structure of Th2NiHg3, with properties calculated at the PBE level.

Unit cell a=3.483 b=4.922 c=8.403 alpha=90.00 beta=90.00 gamma=90.00
Each line ends with the local moment (μB).
Atoms (fractional coordinates):
Hg 0.500 0.000 0.833  0.00
Hg 0.500 0.000 0.176  0.00
Hg 0.500 0.500 0.649  0.00
Th 0.000 0.500 0.036  -0.01
Th 0.000 0.000 0.486  0.07
Ni 0.500 0.500 0.319  0.01

Calculated values
Spin magnetization   0.12 Bohr magnetons per cell

| no. | formation energy from the elements (eV per atom) | mass density (g/cm³) |
| --- | --- | --- |
| 1 | 0.13 | 13.3 |
| 2 | -0.26 | 13.0 |